This record from the Alexandria database describes ZrSb after structural relaxation. The functional is GGA-PBE.

Output
Electronic total energy (eV per atom): -6.80
Calculated volume (A^3/atom): 24.3
Energy relative to the elements, uncorrected (meV per atom): -461

Cell: 5.820 5.820 7.318 Å, 68.55 68.55 39.74°
Element x y z (fractional)
Sb: 0.994 0.994 0.957
Zr: 0.286 0.286 0.971
Sb: 0.621 0.621 0.273
Zr: 0.961 0.961 0.565
Zr: 0.655 0.655 0.684
Sb: 0.316 0.316 0.383